A relaxed structure of CsEuPO4. Source: Alexandria via LeMat-Bulk, functional GGA-PBE.

## Properties
Energy relative to the elements, uncorrected (eV per atom): -2.536
Calculated density (g/cm3): 5.212
Spin magnetization (μB/atom): 1.00

abc: 8.060 5.551 10.819
angles: 90.00 90.00 90.00
Space group Pnma (No. 62)
One atom of each set of equivalent atoms:
Cs (0.130, 0.250, 0.065)
Eu (0.040, 0.250, 0.665)
P (0.184, 0.250, 0.387)
O (0.007, 0.750, 0.588)
O (0.229, 0.750, 0.016)
O (0.230, 0.017, 0.314)

=====

A relaxed structure of LiPtSeI. Source: Alexandria via LeMat-Bulk, functional GGA-PBE.

## Properties
Energy relative to the elements, uncorrected (eV per atom): -0.441
Calculated density (g/cm3): 6.902
DOS at the Fermi energy (states/eV/cell): 9.3
Spin magnetization (μB/atom): 0.00

abc: 4.0213 4.0213 21.0205
angles: 90.00 90.00 120.00
Space group R3m (No. 160, hexagonal axes)
One atom of each set of equivalent atoms:
Li (0.0000, 0.0000, 0.0000)
Pt (0.0000, 0.0000, 0.4080)
Se (0.0000, 0.0000, 0.7839)
I (0.0000, 0.0000, 0.2704)

=====

A relaxed structure of Ba2InSeO6. Source: Alexandria via LeMat-Bulk, functional GGA-PBE.

## Properties
Energy relative to the elements, uncorrected (eV per atom): -1.748
Calculated density (g/cm3): 6.538
DOS at the Fermi energy (states/eV/cell): 1.7
Spin magnetization (μB/atom): 0.00

abc: 8.308 8.308 8.308
angles: 90.00 90.00 90.00
Space group Fm-3m (No. 225)
One atom of each set of equivalent atoms:
Ba (0.250, 0.250, 0.250)
In (0.000, 0.000, 0.000)
Se (0.000, 0.000, 0.500)
O (0.000, 0.000, 0.265)

=====

A relaxed structure of La2Zn4Ga3Ag. Source: Alexandria via LeMat-Bulk, functional GGA-PBE.

## Properties
Calculated density (g/cm3): 7.004
DOS at the Fermi energy (states/eV/cell): 5.7
Spin magnetization (μB/atom): 0.00
Energy relative to the elements (eV/atom): -0.444

abc: 4.371 4.371 10.629
angles: 90.00 90.00 90.00
Space group P-4m2 (No. 115)
One atom of each set of equivalent atoms:
La (0.000, 0.500, 0.244)
Zn (0.000, 0.000, 0.000)
Zn (0.000, 0.500, 0.634)
Zn (0.500, 0.500, 0.000)
Ga (0.000, 0.500, 0.867)
Ga (0.500, 0.500, 0.500)
Ag (0.000, 0.000, 0.500)

=====

A relaxed structure of Na3CdIn3O8. Source: Alexandria via LeMat-Bulk, functional GGA-PBE.

## Properties
Energy relative to the elements, uncorrected (eV per atom): -1.320
Calculated density (g/cm3): 5.201
DOS at the Fermi energy (states/eV/cell): 32.5
Spin magnetization (μB/atom): 0.14

abc: 6.5846 6.5846 16.6792
angles: 90.00 90.00 120.00
Space group R-3m (No. 166, hexagonal axes)
One atom of each set of equivalent atoms:
Na (0.0000, 0.5000, 0.0000)
Cd (0.0000, 0.0000, 0.5000)
In (0.0000, 0.5000, 0.5000)
O (0.0000, 0.0000, 0.2372)
O (0.0019, 0.5009, 0.2363)

=====

A relaxed structure of SmThPb2. Source: Alexandria via LeMat-Bulk, functional GGA-PBE.

## Properties
Calculated density (g/cm3): 11.135
DOS at the Fermi energy (states/eV/cell): 3.2
Spin magnetization (μB/atom): 0.03
Energy relative to the elements (eV/atom): -0.388

abc: 3.609 3.609 9.122
angles: 90.00 90.00 90.00
Space group P4/mmm (No. 123)
One atom of each set of equivalent atoms:
Sm (0.000, 0.000, 0.000)
Th (0.000, 0.000, 0.500)
Pb (0.500, 0.500, 0.246)

=====

A relaxed structure of HgIrAu2. Source: Alexandria via LeMat-Bulk, functional GGA-PBE.

## Properties
Calculated density (g/cm3): 18.394
DOS at the Fermi energy (states/eV/cell): 2.3
Spin magnetization (μB/atom): 0.00
Energy relative to the elements (eV/atom): 0.321

abc: 4.099 4.099 4.228
angles: 90.00 90.00 90.00
Space group P4/mmm (No. 123)
One atom of each set of equivalent atoms:
Hg (0.000, 0.000, 0.000)
Ir (0.500, 0.500, 0.000)
Au (0.000, 0.500, 0.500)

=====

A relaxed structure of LiLaHg4. Source: Alexandria via LeMat-Bulk, functional GGA-PBE.

## Properties
Calculated density (g/cm3): 10.599
DOS at the Fermi energy (states/eV/cell): 5.5
Spin magnetization (μB/atom): 0.00
Energy relative to the elements (eV/atom): -0.352

abc: 10.123 4.091 7.597
angles: 90.00 109.19 90.00
Space group C2/m (No. 12)
One atom of each set of equivalent atoms:
Li (0.000, 0.000, 0.000)
La (0.000, 0.000, 0.500)
Hg (0.161, 0.500, 0.297)
Hg (0.166, 0.500, 0.854)

=====

A relaxed structure of AcThIr4. Source: Alexandria via LeMat-Bulk, functional GGA-PBE.

## Properties
Calculated density (g/cm3): 17.268
DOS at the Fermi energy (states/eV/cell): 16.2
Spin magnetization (μB/atom): 0.00
Energy relative to the elements (eV/atom): -0.671

abc: 7.788 7.788 7.788
angles: 90.00 90.00 90.00
Space group F-43m (No. 216)
One atom of each set of equivalent atoms:
Ac (0.000, 0.000, 0.000)
Th (0.250, 0.250, 0.250)
Ir (0.125, 0.125, 0.625)

=====

A relaxed structure of Tb8AsSe6. Source: Alexandria via LeMat-Bulk, functional GGA-PBE.

## Properties
Energy relative to the elements, uncorrected (eV per atom): -1.341
Calculated density (g/cm3): 7.864
DOS at the Fermi energy (states/eV/cell): 8.9
Spin magnetization (μB/atom): 0.00

abc: 10.3624 10.3624 4.1326
angles: 90.00 90.00 120.00
Space group P-3 (No. 147)
One atom of each set of equivalent atoms:
Tb (0.0306, 0.3091, 0.2598)
Tb (0.3333, 0.6667, 0.7460)
As (0.0000, 0.0000, 0.5000)
Se (0.1288, 0.6494, 0.2462)

=====

A relaxed structure of Sr2LiCa. Source: Alexandria via LeMat-Bulk, functional GGA-PBE.

## Properties
Calculated density (g/cm3): 2.063
DOS at the Fermi energy (states/eV/cell): 3.6
Spin magnetization (μB/atom): 0.00
Energy relative to the elements (eV/atom): 0.072

abc: 4.067 5.968 7.642
angles: 90.00 105.33 90.00
Space group Pm (No. 6)
One atom of each set of equivalent atoms:
Sr (0.000, 0.000, 0.000)
Sr (0.341, 0.500, 0.686)
Li (0.733, 0.000, 0.474)
Ca (0.612, 0.500, 0.223)

=====

A relaxed structure of Ni3Rh7. Source: Alexandria via LeMat-Bulk, functional GGA-PBE.

## Properties
Calculated density (g/cm3): 11.088
DOS at the Fermi energy (states/eV/cell): 30.0
Spin magnetization (μB/atom): 0.48
Energy relative to the elements (eV/atom): 0.051

abc: 13.587 3.781 5.337
angles: 90.00 101.63 90.00
Space group C2/m (No. 12)
One atom of each set of equivalent atoms:
Ni (0.000, 0.000, 0.000)
Ni (0.199, 0.000, 0.598)
Rh (0.000, 0.000, 0.500)
Rh (0.100, 0.500, 0.802)
Rh (0.102, 0.500, 0.302)
Rh (0.201, 0.000, 0.107)

=====

A relaxed structure of Y2TmUP4. Source: Alexandria via LeMat-Bulk, functional GGA-PBE.

## Properties
Calculated density (g/cm3): 6.652
DOS at the Fermi energy (states/eV/cell): 6.7
Spin magnetization (μB/atom): 0.26
Energy relative to the elements (eV/atom): -1.457

abc: 6.872 3.961 6.883
angles: 90.00 109.24 90.00
Space group P2/m (No. 10)
One atom of each set of equivalent atoms:
Y (0.000, 0.000, 0.000)
Y (0.500, 0.500, 0.000)
Tm (0.000, 0.500, 0.500)
U (0.500, 0.000, 0.500)
P (0.251, 0.000, 0.743)
P (0.254, 0.500, 0.257)

=====

A relaxed structure of Ba2MnSi. Source: Alexandria via LeMat-Bulk, functional GGA-PBE.

## Properties
Energy relative to the elements, uncorrected (eV per atom): 0.193
Calculated density (g/cm3): 4.783
DOS at the Fermi energy (states/eV/cell): 4.0
Spin magnetization (μB/atom): 0.62

abc: 3.579 3.579 9.696
angles: 90.00 90.00 90.00
Space group P4mm (No. 99)
One atom of each set of equivalent atoms:
Ba (0.000, 0.000, 0.000)
Ba (0.500, 0.500, 0.415)
Mn (0.000, 0.000, 0.684)
Si (0.500, 0.500, 0.747)

=====

A relaxed structure of InH2Pt7Pb2. Source: Alexandria via LeMat-Bulk, functional GGA-PBE.

## Properties
Calculated density (g/cm3): 16.412
DOS at the Fermi energy (states/eV/cell): 7.4
Spin magnetization (μB/atom): 0.00
E (Ha/atom): -0.186

abc: 5.715 5.719 12.079
angles: 90.00 103.53 90.00
Space group C2/m (No. 12)
One atom of each set of equivalent atoms:
In (0.000, 0.000, 0.000)
H (0.024, 0.500, 0.162)
Pt (0.000, 0.500, 0.000)
Pt (0.159, 0.246, 0.822)
Pt (0.179, 0.500, 0.350)
Pb (0.203, 0.000, 0.403)

=====

A relaxed structure of TlZnSCl2. Source: Alexandria via LeMat-Bulk, functional GGA-PBE.

## Properties
Energy relative to the elements, uncorrected (eV per atom): 0.064
Calculated density (g/cm3): 4.241
DOS at the Fermi energy (states/eV/cell): 3.2
Spin magnetization (μB/atom): 0.00

abc: 5.267 5.267 5.261
angles: 90.00 90.00 90.00
Space group P4/mmm (No. 123)
One atom of each set of equivalent atoms:
Tl (0.000, 0.000, 0.000)
Zn (0.500, 0.500, 0.500)
S (0.000, 0.000, 0.500)
Cl (0.000, 0.500, 0.000)

=====

A relaxed structure of ErPuNiRh. Source: Alexandria via LeMat-Bulk, functional GGA-PBE.

## Properties
Calculated density (g/cm3): 12.183
DOS at the Fermi energy (states/eV/cell): 44.8
Spin magnetization (μB/atom): 1.34
Energy relative to the elements (eV/atom): -0.418

abc: 6.785 6.785 6.785
angles: 90.00 90.00 90.00
Space group F-43m (No. 216)
One atom of each set of equivalent atoms:
Er (0.000, 0.000, 0.000)
Pu (0.000, 0.000, 0.500)
Ni (0.250, 0.250, 0.750)
Rh (0.250, 0.250, 0.250)

=====

A relaxed structure of Si2NiHg. Source: Alexandria via LeMat-Bulk, functional GGA-PBE.

## Properties
Energy relative to the elements, uncorrected (eV per atom): 0.183
Calculated density (g/cm3): 8.038
DOS at the Fermi energy (states/eV/cell): 1.4
Spin magnetization (μB/atom): 0.00

abc: 2.947 2.947 7.501
angles: 90.00 90.00 90.00
Space group P4mm (No. 99)
One atom of each set of equivalent atoms:
Si (0.000, 0.000, 0.000)
Si (0.500, 0.500, 0.217)
Ni (0.500, 0.500, 0.857)
Hg (0.000, 0.000, 0.569)

=====

A relaxed structure of Tm8Ag2Te. Source: Alexandria via LeMat-Bulk, functional GGA-PBE.

## Properties
Energy relative to the elements, uncorrected (eV per atom): -0.153
Calculated density (g/cm3): 9.085
DOS at the Fermi energy (states/eV/cell): 32.7
Spin magnetization (μB/atom): 0.00

abc: 8.559 13.523 5.619
angles: 90.00 107.70 90.00
Space group C2/m (No. 12)
One atom of each set of equivalent atoms:
Tm (0.000, 0.238, 0.000)
Tm (0.102, 0.500, 0.801)
Tm (0.208, 0.120, 0.612)
Ag (0.000, 0.303, 0.500)
Te (0.000, 0.000, 0.000)

=====

A relaxed structure of K3SiSe4. Source: Alexandria via LeMat-Bulk, functional GGA-PBE.

## Properties
Energy relative to the elements, uncorrected (eV per atom): -0.914
Calculated density (g/cm3): 2.808
DOS at the Fermi energy (states/eV/cell): 0.9
Spin magnetization (μB/atom): 0.00

abc: 5.999 13.259 6.859
angles: 90.00 90.00 90.00
Space group Imm2 (No. 44)
One atom of each set of equivalent atoms:
K (0.000, 0.000, 0.000)
K (0.000, 0.288, 0.155)
Si (0.000, 0.500, 0.800)
Se (0.000, 0.354, 0.625)
Se (0.234, 0.000, 0.539)

=====

A relaxed structure of LaNb3N. Source: Alexandria via LeMat-Bulk, functional GGA-PBE.

## Properties
Energy relative to the elements, uncorrected (eV per atom): 2.871
Calculated density (g/cm3): 6.258
DOS at the Fermi energy (states/eV/cell): 5.1
Spin magnetization (μB/atom): 0.00

abc: 4.856 4.856 4.856
angles: 90.00 90.00 90.00
Space group Pm-3m (No. 221)
One atom of each set of equivalent atoms:
La (0.000, 0.000, 0.000)
Nb (0.000, 0.000, 0.500)
N (0.500, 0.500, 0.500)

=====

A relaxed structure of RbSbP. Source: Alexandria via LeMat-Bulk, functional GGA-PBE.

## Properties
Energy relative to the elements, uncorrected (eV per atom): -0.122
Calculated density (g/cm3): 3.809
DOS at the Fermi energy (states/eV/cell): 1.5
Spin magnetization (μB/atom): 0.00

abc: 4.3870 4.3870 6.2298
angles: 90.00 90.00 120.00
Space group P3m1 (No. 156)
One atom of each set of equivalent atoms:
Rb (0.0000, 0.0000, 0.0000)
Sb (0.3333, 0.6667, 0.5295)
P (0.6667, 0.3333, 0.3761)